First-principles (PBE-GGA) data for a relaxed structure of Sr2LiGeH, as listed in Alexandria via LeMat-Bulk.

Cell and atoms, written as POSCAR:
```
Sr2LiGeH
1.0
5.173 0.000 0.000
0.000 5.173 0.000
0.000 0.000 4.281
Sr Li Ge H
2 1 1 1
direct
0.000 0.500 0.000
0.500 0.000 0.000
0.000 0.000 0.500
0.500 0.500 0.500
0.000 0.000 0.000
```

Results
ΔE to the lowest computed polymorph: 39 meV/atom
Final energy: -3.08 eV per atom
Space-group type: P4/mmm
Crystal system: tetragonal